# 1
Mg2ZrW | GGA-PBE | optimized geometry

a b c (Å): 4.809 4.030 4.030
angles (deg): 90.00 90.00 90.00
Fractional positions:
Mg 0.000 0.000 0.000
Mg 0.000 0.500 0.500
W 0.500 0.500 0.000
Zr 0.500 0.000 0.500

Output
Energy above the most stable polymorph in this dataset (meV per atom): 152.3
Magnetic moment (Bohr magnetons per cell): 0.0
DOS at the Fermi energy (states/eV per atom): 1.152
Formation energy from the elements (eV/atom): 0.355
Crystal system: tetragonal

# 2
Pm3NiC4 | GGA-PBE | optimized geometry

a b c (Å): 3.736 4.271 8.356
angles (deg): 99.63 102.92 90.00
Fractional positions:
Pm 0.000 0.500 0.000
Pm 0.177 0.207 0.354
Pm 0.823 0.793 0.646
Ni 0.500 0.000 0.000
C 0.405 0.167 0.809
C 0.595 0.833 0.191
C 0.667 0.716 0.334
C 0.333 0.284 0.666

Output
Energy above the most stable polymorph in this dataset (meV per atom): 0.0
Magnetic moment (Bohr magnetons per cell): 0.0
DOS at the Fermi energy (states/eV per atom): 0.359
Formation energy from the elements (eV/atom): -0.186
Crystal system: monoclinic

# 3
AgMoOs3 | GGA-PBE | optimized geometry

a b c (Å): 4.646 4.646 4.646
angles (deg): 90.00 90.00 90.00
Fractional positions:
Mo 0.500 0.500 0.500
Os 0.000 0.500 0.000
Os 0.000 0.000 0.500
Os 0.500 0.000 0.000
Ag 0.000 0.000 0.000

Output
Energy above the most stable polymorph in this dataset (meV per atom): 974.1
Magnetic moment (Bohr magnetons per cell): 0.0
DOS at the Fermi energy (states/eV per atom): 1.408
Formation energy from the elements (eV/atom): 3.201
Crystal system: cubic

# 4
NaMg2SbIr | GGA-PBE | optimized geometry

a b c (Å): 4.837 5.024 4.837
angles (deg): 90.00 90.00 90.00
Fractional positions:
Sb 0.000 0.500 0.000
Mg 0.000 0.000 0.500
Mg 0.500 0.000 0.000
Ir 0.500 0.500 0.500
Na 0.000 0.000 0.000

Output
Magnetic moment (Bohr magnetons per cell): 0.0
DOS at the Fermi energy (states/eV per atom): 0.508
ΔE_f (raw) (eV/atom): 1.21
Crystal system: tetragonal

# 5
In2GaBiPb | GGA-PBE | optimized geometry

a b c (Å): 3.376 7.858 11.258
angles (deg): 108.00 90.00 90.00
Fractional positions:
In 0.750 0.596 0.648
In 0.250 0.404 0.352
In 0.750 0.547 0.139
In 0.250 0.453 0.861
Ga 0.250 0.194 0.036
Ga 0.750 0.806 0.964
Bi 0.250 0.966 0.209
Bi 0.750 0.034 0.791
Pb 0.250 0.193 0.559
Pb 0.750 0.807 0.441

Output
Magnetic moment (Bohr magnetons per cell): 0.0
DOS at the Fermi energy (states/eV per atom): 0.431
Formation energy from the elements (eV/atom): 0.064
Crystal system: monoclinic

# 6
HAuN2O | GGA-PBE | optimized geometry

a b c (Å): 4.058 4.058 4.150
angles (deg): 90.00 90.00 90.00
Site moments in Bohr magnetons follow the coordinates.
Fractional positions:
H 0.500 0.500 0.500  0.21
Au 0.000 0.000 0.000  -0.04
O 0.000 0.000 0.500  0.06
N 0.000 0.500 0.000  0.29
N 0.500 0.000 0.000  0.29

Output
E_tot (eV per formula unit): -15.76
Magnetic moment (Bohr magnetons per cell): 1.3
DOS at the Fermi energy (states/eV per atom): 1.039
Crystal system: tetragonal